Here is a relaxed structure of Mg3NiH from the Alexandria database. Energies are from GGA-PBEsol.

Cell: 4.747 4.747 4.747 Å, 90.00 90.00 90.00°
Fractional coordinates of all 5 atoms:
Ni: 0.000 0.000 0.000
Mg: 0.000 0.500 0.000
Mg: 0.500 0.000 0.000
Mg: 0.000 0.000 0.500
H: 0.500 0.500 0.500

Properties
The calculation puts the energy above the most stable polymorph in this dataset at 520 meV per atom.